Compound: Co3O4
Source: Alexandria
Functional: PBE+U
Structure: relaxed

Cell lengths 5.763, 5.763, 5.763 Å; angles 60.00, 60.00, 60.00 degrees
Positions (direct):
Co  0.000  0.000  0.000
Co  0.000  0.000  0.500
Co  0.000  0.500  0.000
Co  0.375  0.375  0.375
Co  0.500  0.000  0.000
Co  0.625  0.625  0.625
O  0.209  0.764  0.764
O  0.236  0.236  0.236
O  0.236  0.236  0.791
O  0.236  0.791  0.236
O  0.764  0.209  0.764
O  0.764  0.764  0.209
O  0.764  0.764  0.764
O  0.791  0.236  0.236

Summary:
The uncorrected energy is -6.079 eV/atom. The symmetry is Fd-3m, No. 227.